Entry 1:
First-principles (PBE) data for Mg14VSn after structural relaxation, as listed in Alexandria.

Properties
* volume: 356 Å³/cell
* SG: P-6m2, No. 187
* raw total energy: -34.68 eV for the cell shown
* E_form: 0.0480 eV/atom

Cell lengths 6.3526, 6.3526, 10.1815 Å; angles 90.00, 90.00, 120.00 degrees
Closest atoms and distances in Å follow each position.
Positions (direct):
Mg: 0.0000 0.0000 0.2490  12 Mg 3.12-3.18
Mg: 0.0000 0.0000 0.7510  12 Mg 3.12-3.18
Mg: 0.0054 0.5027 0.2550  1 V 3.08, 10 Mg 3.11-3.23, 1 Sn 3.16
Mg: 0.0054 0.5027 0.7450  1 V 3.08, 10 Mg 3.11-3.23, 1 Sn 3.16
Mg: 0.3313 0.1657 0.0000  10 Mg 3.12-3.20, 2 Sn 3.18
Mg: 0.3325 0.1663 0.5000  10 Mg 3.11-3.18, 2 V 3.18
Mg: 0.4973 0.5027 0.2550  1 V 3.08, 10 Mg 3.11-3.23, 1 Sn 3.16
Mg: 0.4973 0.5027 0.7450  1 V 3.08, 10 Mg 3.11-3.23, 1 Sn 3.16
Mg: 0.4973 0.9946 0.2550  1 V 3.08, 10 Mg 3.11-3.23, 1 Sn 3.16
Mg: 0.4973 0.9946 0.7450  1 V 3.08, 10 Mg 3.11-3.23, 1 Sn 3.16
Mg: 0.8343 0.1657 0.0000  10 Mg 3.12-3.20, 2 Sn 3.18
Mg: 0.8337 0.1663 0.5000  10 Mg 3.11-3.18, 2 V 3.18
Mg: 0.8337 0.6675 0.5000  10 Mg 3.11-3.18, 2 V 3.18
Mg: 0.8343 0.6687 0.0000  10 Mg 3.12-3.20, 2 Sn 3.18
V: 0.3333 0.6667 0.5000  12 Mg 3.08-3.18
Sn: 0.3333 0.6667 0.0000  12 Mg 3.16-3.18

---

Entry 2:
First-principles (PBE) data for Ac3Pm4Nd4 after structural relaxation, as listed in Alexandria.

Properties
* volume: 412 Å³/cell
* SG: P-1, No. 2
* raw total energy: -49.97 eV for the cell shown
* E_form: 0.0393 eV/atom

Cell lengths 3.7205, 5.9136, 19.0384 Å; angles 98.92, 95.59, 90.01 degrees
Closest atoms and distances in Å follow each position.
Positions (direct):
Ac: 0.0000 0.0000 0.0000  2 Ac 3.72, 8 Nd 3.89-3.90, 4 Pm 3.91
Ac: 0.1370 0.6378 0.2754  2 Ac 3.72, 6 Nd 3.87-3.90, 6 Pm 3.89-4.09
Ac: 0.8630 0.3622 0.7246  2 Ac 3.72, 6 Nd 3.87-3.90, 6 Pm 3.89-4.09
Pm: 0.2649 0.2648 0.5299  4 Nd 3.56-3.62, 6 Pm 3.67-3.72
Pm: 0.4084 0.9075 0.8164  3 Nd 3.38-3.42, 2 Pm 3.72
Pm: 0.5916 0.0925 0.1836  3 Nd 3.38-3.42, 2 Pm 3.72
Pm: 0.7351 0.7352 0.4701  4 Nd 3.56-3.62, 6 Pm 3.67-3.72
Nd: 0.3181 0.8176 0.6357  5 Pm 3.38-3.62, 2 Nd 3.72
Nd: 0.4546 0.4530 0.9079  2 Pm 3.42, 3 Nd 3.45-3.72
Nd: 0.5454 0.5470 0.0921  2 Pm 3.42, 3 Nd 3.45-3.72
Nd: 0.6819 0.1824 0.3643  5 Pm 3.38-3.62, 2 Nd 3.72